[1]
MgAl2Pb2: optimized geometry, GGA-PBE.

Cell: 8.237 8.237 3.799 Å, 90.00 90.00 90.00°
Element x y z (fractional)
Mg1 0.500 0.500 0.000
Mg2 0.000 0.000 0.000
Pb1 0.828 0.672 0.000
Pb2 0.172 0.328 0.000
Al1 0.623 0.877 0.500
Al2 0.877 0.377 0.500
Al3 0.377 0.123 0.500
Al4 0.123 0.623 0.500
Pb3 0.672 0.172 0.000
Pb4 0.328 0.828 0.000

Properties
Electronic total energy = -3.02 eV/atom
Calculated density = 6.3 Mg/m³
SG = P4/mbm, No. 127


[2]
Ac2Dy4Tl3O2: optimized geometry, GGA-PBE.

Cell: 4.805 4.805 13.408 Å, 100.32 100.32 90.00°
Element x y z (fractional)
Tl1 0.167 0.167 0.334
Dy1 0.420 0.920 0.840
Ac1 0.306 0.306 0.611
O1 0.407 0.407 0.815
Dy2 0.080 0.580 0.160
Dy3 0.920 0.420 0.840
O2 0.593 0.593 0.185
Ac2 0.694 0.694 0.389
Dy4 0.580 0.080 0.160
Tl2 0.000 0.000 0.000
Tl3 0.833 0.833 0.666

Properties
Calculated density = 9.7 Mg/m³
SG = I4/mmm, No. 139
Uncorrected formation energy = -1.25 eV/atom


[3]
Tc2TeSe: optimized geometry, GGA-PBE.

Cell: 4.353 4.353 5.581 Å, 77.72 77.72 42.43°
Element x y z (fractional)
Se1 0.250 0.250 0.250
Te1 0.750 0.750 0.750
Tc1 0.502 0.502 0.463
Tc2 0.998 0.998 0.037

Properties
Calculated density = 9.6 Mg/m³
SG = C2/m, No. 12
Uncorrected formation energy = 0.26 eV/atom


[4]
NaSm3Tl4: optimized geometry, GGA-PBE.

Cell: 5.390 5.390 9.528 Å, 73.57 73.57 60.00°
Element x y z (fractional)
Tl1 0.625 0.625 0.125
Sm1 0.500 0.500 0.500
Tl2 0.125 0.125 0.625
Tl3 0.875 0.875 0.375
Sm2 0.745 0.745 0.765
Sm3 0.255 0.255 0.235
Tl4 0.375 0.375 0.875
Na1 0.000 0.000 0.000

Properties
Electronic total energy = -3.44 eV/atom
Calculated density = 9.5 Mg/m³
SG = R-3m, No. 166


- Which of these has the lowest calculated density?
  MgAl2Pb2


- What is the calculated density in the fourth record?
  9.5 Mg/m³


- The lowest calculated density belongs to which entry?
  MgAl2Pb2


- Which value of calculated density does entry 1 give?
  6.3 Mg/m³